Entry 1:
DFT (PBE-GGA) results for La2TcGe after structural relaxation.

a b c (Å): 8.2072 8.2072 6.5266
angles (deg): 51.04 51.04 90.00
Positions (direct):
Ge (0.5000, 0.5000, 0.0000)
Ge (0.2500, 0.7500, 0.5000)
Tc (0.0000, 0.0000, 0.0000)
Tc (0.7500, 0.2500, 0.5000)
La (0.6831, 0.1250, 0.2500)
La (0.0669, 0.6250, 0.2500)
La (0.3750, 0.3169, 0.7500)
La (0.8750, 0.9331, 0.7500)

Values from the calculation:
E_tot	-6.15	eV per atom
energy of formation from the pure elements	0.06	eV per atom
M_tot	0.0	μB/f.u.

---

Entry 2:
DFT (PBE-GGA) results for NaCrPbCl6 after structural relaxation.

a b c (Å): 6.9168 6.9168 11.8174
angles (deg): 90.00 90.00 120.00
Positions (direct):
Na (0.0000, 0.0000, 0.0000)
Na (0.0000, 0.0000, 0.5000)
Cr (0.6667, 0.3333, 0.2500)
Cr (0.3333, 0.6667, 0.7500)
Pb (0.3333, 0.6667, 0.2500)
Pb (0.6667, 0.3333, 0.7500)
Cl (0.6722, 0.6143, 0.1322)
Cl (0.9421, 0.3278, 0.1322)
Cl (0.3278, 0.9421, 0.6322)
Cl (0.0579, 0.6722, 0.8678)
Cl (0.3857, 0.3278, 0.3678)
Cl (0.9421, 0.6143, 0.3678)
Cl (0.6143, 0.9421, 0.8678)
Cl (0.6722, 0.0579, 0.3678)
Cl (0.0579, 0.3857, 0.6322)
Cl (0.3857, 0.0579, 0.1322)
Cl (0.6143, 0.6722, 0.6322)
Cl (0.3278, 0.3857, 0.8678)

Values from the calculation:
ΔE_f (raw)	-1.260	eV/atom
E_tot	-4.12	eV per atom
M_tot	3.0	μB/f.u.

---

Entry 3:
DFT (PBE-GGA) results for Ce4InBi after structural relaxation.

a b c (Å): 3.2570 5.1488 9.4312
angles (deg): 90.00 90.00 90.00
Positions (direct):
Ce (0.4986, 0.9973, 0.1700)
Ce (0.4986, 0.9973, 0.8263)
Ce (0.4986, 0.4973, 0.6787)
Ce (0.4986, 0.4973, 0.3176)
In (0.9985, 0.4973, 0.9981)
Bi (0.9986, 0.9973, 0.4981)

Values from the calculation:
excess energy over the best structure of this formula in the dataset	0.000	eV/atom
E_tot	-5.28	eV per atom
energy of formation from the pure elements	-0.22	eV per atom
M_tot	2.9	μB/f.u.

---

Entry 4:
DFT (PBE-GGA) results for HgPtSe2 after structural relaxation.

a b c (Å): 5.5084 5.5084 6.9701
angles (deg): 66.72 66.72 90.00
Positions (direct):
Se (0.7157, 0.7157, 0.5685)
Se (0.0343, 0.5343, 0.9315)
Se (0.2843, 0.2843, 0.4315)
Se (0.4657, 0.9657, 0.0685)
Hg (0.0000, 0.0000, 0.0000)
Hg (0.7500, 0.2500, 0.5000)
Pt (0.5000, 0.5000, 0.0000)
Pt (0.2500, 0.7500, 0.5000)

Values from the calculation:
ΔE_f (raw)	-0.116	eV/atom
excess energy over the best structure of this formula in the dataset	0.176	eV/atom
E_tot	-3.44	eV per atom
M_tot	0.0	μB/f.u.

---

Entry 5:
DFT (PBE-GGA) results for Mn2MoIr after structural relaxation.

a b c (Å): 8.8925 8.8925 8.8925
angles (deg): 17.39 17.39 17.39
Positions (direct):
Ir (0.7500, 0.7500, 0.7500)
Mn (0.0028, 0.0028, 0.0028)
Mn (0.4972, 0.4972, 0.4972)
Mo (0.2500, 0.2500, 0.2500)

Values from the calculation:
E_tot	-9.34	eV per atom
energy of formation from the pure elements	0.17	eV per atom
M_tot	3.5	μB/f.u.

---

Entry 6:
DFT (PBE-GGA) results for PrSnBi after structural relaxation.

a b c (Å): 5.2439 5.2439 4.0126
angles (deg): 90.00 90.00 120.00
Positions (direct):
Pr (0.0000, 0.0000, 0.0001)
Bi (0.3333, 0.6667, 0.5003)
Sn (0.6667, 0.3333, 0.4996)

Values from the calculation:
excess energy over the best structure of this formula in the dataset	0.276	eV/atom
E_tot	-4.63	eV per atom
energy of formation from the pure elements	-0.41	eV per atom
M_tot	0.0	μB/f.u.

---

> E_tot of number 5 (Mn2MoIr)?

-9.34 eV per atom